# 1
Density functional theory data (GGA-PBE) for an optimized crystal structure of LiCdGa2Pt.

Unit cell a=4.815 b=4.815 c=4.923 alpha=90.00 beta=90.00 gamma=90.00
Space group P4/mmm (No. 123)
Symmetry-distinct sites (fractional):
Li 0.000 0.000 0.000
Cd 0.500 0.500 0.000
Ga 0.000 0.500 0.500
Pt 0.000 0.000 0.500

Results
Energy of formation (meV per atom): -252
M_tot (μB/atom): 0.00
E_tot (eV/f.u.): -16.18


# 2
Density functional theory data (GGA-PBE) for an optimized crystal structure of Mg2Sb2W.

Unit cell a=3.611 b=3.611 c=17.553 alpha=90.00 beta=90.00 gamma=90.00
Space group I4/mmm (No. 139)
Symmetry-distinct sites (fractional):
Mg 0.000 0.500 0.250
Sb 0.000 0.000 0.088
W 0.000 0.000 0.500

Results
Polymorph energy (0 for the lowest one) (meV per atom): 368
M_tot (μB/atom): 0.00
Formation energy (no corrections) (eV/atom): 0.631
E_tot (eV/f.u.): -21.23


# 3
Density functional theory data (GGA-PBE) for an optimized crystal structure of Er7Tm12In.

Unit cell a=11.8160 b=11.8160 c=15.3350 alpha=90.00 beta=90.00 gamma=120.00
Space group R-3 (No. 148, hexagonal axes)
Symmetry-distinct sites (fractional):
Er 0.0000 0.0000 0.0000
Er 0.0544 0.8660 0.2990
Tm 0.0336 0.5773 0.2127
Tm 0.0552 0.4698 0.5860
In 0.0000 0.0000 0.5000

Results
Energy of formation (meV per atom): 177
M_tot (μB/atom): 0.00
E_tot (eV/f.u.): -84.80


# 4
Density functional theory data (GGA-PBE) for an optimized crystal structure of CaPm2Pu.

Unit cell a=3.6304 b=3.6304 c=35.7850 alpha=90.00 beta=90.00 gamma=120.00
Space group R3m (No. 160, hexagonal axes)
Symmetry-distinct sites (fractional):
Ca 0.0000 0.0000 0.0000
Pm 0.0000 0.0000 0.2443
Pm 0.0000 0.0000 0.4229
Pu 0.0000 0.0000 0.8340

Results
Energy of formation (meV per atom): 150
Polymorph energy (0 for the lowest one) (meV per atom): 15
M_tot (μB/atom): 1.49
E_tot (eV/f.u.): -25.24


# 5
Density functional theory data (GGA-PBE) for an optimized crystal structure of K2AgO.

Unit cell a=4.287 b=14.593 c=6.608 alpha=90.00 beta=90.00 gamma=90.00
Space group Cmcm (No. 63)
Symmetry-distinct sites (fractional):
K 0.000 0.162 0.001
Ag 0.000 0.467 0.250
O 0.000 0.313 0.250

Results
M_tot (μB/atom): 0.00
Formation energy (no corrections) (eV/atom): -0.569
E_tot (eV/f.u.): -12.28


# 6
Density functional theory data (GGA-PBE) for an optimized crystal structure of NbV2HPd.

Unit cell a=3.885 b=3.885 c=4.163 alpha=90.00 beta=90.00 gamma=90.00
Space group P4/mmm (No. 123)
Symmetry-distinct sites (fractional):
Nb 0.000 0.000 0.000
V 0.000 0.500 0.500
H 0.000 0.000 0.500
Pd 0.500 0.500 0.000

Results
Polymorph energy (0 for the lowest one) (meV per atom): 0
M_tot (μB/atom): 0.00
E_tot (eV/f.u.): -37.21


# 7
Density functional theory data (GGA-PBE) for an optimized crystal structure of Li2HoAu.

Unit cell a=6.618 b=6.618 c=6.618 alpha=90.00 beta=90.00 gamma=90.00
Space group Fm-3m (No. 225)
Symmetry-distinct sites (fractional):
Li 0.250 0.250 0.250
Ho 0.000 0.000 0.000
Au 0.000 0.000 0.500

Results
Energy of formation (meV per atom): -263
M_tot (μB/atom): 0.00
E_tot (eV/f.u.): -12.73


# 8
Density functional theory data (GGA-PBE) for an optimized crystal structure of Rb2SiCl2F4.

Unit cell a=10.642 b=6.544 c=6.168 alpha=90.00 beta=98.97 gamma=90.00
Space group C2/m (No. 12)
Symmetry-distinct sites (fractional):
Rb 0.183 0.000 0.202
Si 0.000 0.500 0.000
Cl 0.170 0.500 0.278
F 0.072 0.315 0.870

Results
M_tot (μB/atom): 0.00
Formation energy (no corrections) (eV/atom): -2.587
E_tot (eV/f.u.): -41.82


# 9
Density functional theory data (GGA-PBE) for an optimized crystal structure of Ca2GaNi16.

Unit cell a=8.3464 b=8.3464 c=12.1385 alpha=90.00 beta=90.00 gamma=120.00
Space group R3m (No. 160, hexagonal axes)
Symmetry-distinct sites (fractional):
Ca 0.0000 0.0000 0.0000
Ca 0.0000 0.0000 0.3094
Ga 0.0000 0.0000 0.7480
Ni 0.0000 0.0000 0.5532
Ni 0.0001 0.2941 0.6517
Ni 0.0005 0.5002 0.1522
Ni 0.0036 0.5018 0.4978
Ni 0.1688 0.3376 0.1402

Results
Energy of formation (meV per atom): -114
M_tot (μB/atom): 0.33
E_tot (eV/f.u.): -101.70


# 10
Density functional theory data (GGA-PBE) for an optimized crystal structure of Fe2Co.

Unit cell a=2.851 b=2.851 c=8.536 alpha=90.00 beta=90.00 gamma=90.00
Space group P4/mmm (No. 123)
Symmetry-distinct sites (fractional):
Fe 0.000 0.000 0.000
Fe 0.000 0.000 0.332
Fe 0.500 0.500 0.500
Co 0.500 0.500 0.165

Results
Energy of formation (meV per atom): -45
M_tot (μB/atom): 2.33
E_tot (eV/f.u.): -24.17


# 11
Density functional theory data (GGA-PBE) for an optimized crystal structure of CsP2SBr.

Unit cell a=5.085 b=5.085 c=5.489 alpha=90.00 beta=90.00 gamma=90.00
Space group P4/mmm (No. 123)
Symmetry-distinct sites (fractional):
Cs 0.000 0.000 0.000
P 0.000 0.500 0.500
S 0.500 0.500 0.000
Br 0.500 0.500 0.500

Results
Polymorph energy (0 for the lowest one) (meV per atom): 0
M_tot (μB/atom): 0.42
Formation energy (no corrections) (eV/atom): 0.827
E_tot (eV/f.u.): -13.34


# 12
Density functional theory data (GGA-PBE) for an optimized crystal structure of Tb2PrMg3.

Unit cell a=3.830 b=3.830 c=11.550 alpha=90.00 beta=90.00 gamma=90.00
Space group P4/mmm (No. 123)
Symmetry-distinct sites (fractional):
Tb 0.000 0.000 0.162
Pr 0.000 0.000 0.500
Mg 0.500 0.500 0.000
Mg 0.500 0.500 0.324

Results
Energy of formation (meV per atom): -94
M_tot (μB/atom): 0.00
E_tot (eV/f.u.): -19.39


# 13
Density functional theory data (GGA-PBE) for an optimized crystal structure of Er2ThPaCo2.

Unit cell a=7.059 b=12.040 c=6.932 alpha=90.00 beta=90.00 gamma=90.00
Space group Ibam (No. 72)
Symmetry-distinct sites (fractional):
Er 0.196 0.205 0.000
Th 0.000 0.500 0.250
Pa 0.000 0.000 0.250
Co 0.218 0.076 0.500

Results
Energy of formation (meV per atom): -185
M_tot (μB/atom): 0.00
E_tot (eV/f.u.): -41.36


# 14
Density functional theory data (GGA-PBE) for an optimized crystal structure of LiLa2Eu.

Unit cell a=3.833 b=3.833 c=9.270 alpha=90.00 beta=90.00 gamma=90.00
Space group P4/mmm (No. 123)
Symmetry-distinct sites (fractional):
Li 0.000 0.000 0.000
La 0.500 0.500 0.210
Eu 0.000 0.000 0.500

Results
Energy of formation (meV per atom): 104
Polymorph energy (0 for the lowest one) (meV per atom): 0
M_tot (μB/atom): 2.05
E_tot (eV/f.u.): -21.63


# 15
Density functional theory data (GGA-PBE) for an optimized crystal structure of TbPmNd6Sm2.

Unit cell a=9.252 b=15.419 c=9.888 alpha=90.00 beta=98.72 gamma=90.00
Space group C2/c (No. 15)
Symmetry-distinct sites (fractional):
Tb 0.000 0.023 0.250
Pm 0.000 0.407 0.750
Nd 0.065 0.182 0.945
Nd 0.102 0.396 0.120
Nd 0.205 0.223 0.314
Sm 0.243 0.050 0.543

Results
Energy of formation (meV per atom): 115
M_tot (μB/atom): 0.00
E_tot (eV/f.u.): -46.28


# 16
Density functional theory data (GGA-PBE) for an optimized crystal structure of PrAl4Ir2Pt.

Unit cell a=4.2563 b=4.2563 c=26.9212 alpha=90.00 beta=90.00 gamma=120.00
Space group R-3m (No. 166, hexagonal axes)
Symmetry-distinct sites (fractional):
Pr 0.0000 0.0000 0.0000
Al 0.0000 0.0000 0.1304
Al 0.0000 0.0000 0.4049
Ir 0.0000 0.0000 0.2307
Pt 0.0000 0.0000 0.5000

Results
Energy of formation (meV per atom): -823
M_tot (μB/atom): 0.00
E_tot (eV/f.u.): -50.10


# 17
Density functional theory data (GGA-PBE) for an optimized crystal structure of MoIr2Ru.

Unit cell a=3.874 b=3.874 c=7.783 alpha=90.00 beta=90.00 gamma=90.00
Space group I4/mmm (No. 139)
Symmetry-distinct sites (fractional):
Mo 0.000 0.000 0.000
Ir 0.000 0.500 0.250
Ru 0.000 0.000 0.500

Results
Energy of formation (meV per atom): -203
Polymorph energy (0 for the lowest one) (meV per atom): 46
M_tot (μB/atom): 0.00
E_tot (eV/f.u.): -38.64


# 18
Density functional theory data (GGA-PBE) for an optimized crystal structure of Tb3Ga2Pb2.

Unit cell a=11.406 b=4.386 c=7.923 alpha=90.00 beta=112.94 gamma=90.00
Space group C2/m (No. 12)
Symmetry-distinct sites (fractional):
Tb 0.000 0.000 0.000
Tb 0.173 0.000 0.642
Ga 0.213 0.500 0.917
Pb 0.045 0.500 0.324

Results
Energy of formation (meV per atom): -527
M_tot (μB/atom): 0.00
E_tot (eV/f.u.): -31.05


# 19
Density functional theory data (GGA-PBE) for an optimized crystal structure of Sc4InPt.

Unit cell a=7.988 b=7.988 c=7.988 alpha=90.00 beta=90.00 gamma=90.00
Space group F-43m (No. 216)
Symmetry-distinct sites (fractional):
Sc 0.125 0.125 0.125
In 0.250 0.250 0.750
Pt 0.000 0.000 0.500

Results
Energy of formation (meV per atom): 26
Polymorph energy (0 for the lowest one) (meV per atom): 687
M_tot (μB/atom): 0.00
E_tot (eV/f.u.): -33.95


# 20
Density functional theory data (GGA-PBE) for an optimized crystal structure of CeDyMnAg.

Unit cell a=7.202 b=7.202 c=7.202 alpha=90.00 beta=90.00 gamma=90.00
Space group F-43m (No. 216)
Symmetry-distinct sites (fractional):
Ce 0.000 0.000 0.000
Dy 0.000 0.000 0.500
Mn 0.250 0.250 0.750
Ag 0.250 0.250 0.250

Results
Energy of formation (meV per atom): 62
M_tot (μB/atom): 0.46
E_tot (eV/f.u.): -22.31